Compound: CaFeRe2
Source: Alexandria
Functional: SCAN
Structure: single point on PBEsol structure

The structure belongs to space group C2/m (No. 12); the cell edges are 5.317, 9.419 and 2.605 Å and the angles 90.00°, 108.28° and 90.00°. Symmetry generates all atoms from Ca at (0.000, 0.000, 0.000), Fe at (0.000, 0.500, 0.000) and Re at (0.250, 0.250, 0.500).

The energy relative to the lowest polymorph listed for this composition comes out at 0 meV/atom. For the calculated density, the calculation gives 12.55 g cm⁻³.

***

Compound: CaFeRe2
Source: Alexandria
Functional: SCAN
Structure: single point on PBEsol structure

The structure belongs to space group Imm2 (No. 44); the cell edges are 3.088, 4.717 and 8.763 Å and the angles 90.00°, 90.00° and 90.00°. Symmetry generates all atoms from Ca at (0.000, 0.000, 0.000), Fe at (0.000, 0.500, 0.230), Re at (0.000, 0.000, 0.507) and Re at (0.000, 0.500, 0.781).

The energy relative to the lowest polymorph listed for this composition comes out at 77 meV/atom. For the calculated density, the calculation gives 12.19 g cm⁻³.

***

Compound: CaScFe2Re
Source: Alexandria
Functional: SCAN
Structure: single point on PBEsol structure

The structure belongs to space group P4/mmm (No. 123); the cell edges are 4.215, 4.215 and 4.544 Å and the angles 90.00°, 90.00° and 90.00°. Symmetry generates all atoms from Ca at (0.000, 0.000, 0.000), Sc at (0.000, 0.000, 0.500), Fe at (0.000, 0.500, 0.000) and Re at (0.500, 0.500, 0.500).

For the calculated density, the calculation gives 7.88 g cm⁻³.

***

Compound: CaFeRh2
Source: Alexandria
Functional: SCAN
Structure: single point on PBEsol structure

The structure belongs to space group R-3m (No. 166, hexagonal axes); the cell edges are 2.8883, 2.8883 and 25.6186 Å and the angles 90.00°, 90.00° and 120.00°. Symmetry generates all atoms from Ca at (0.0000, 0.0000, 0.0000), Fe at (0.0000, 0.0000, 0.5000) and Rh at (0.0000, 0.0000, 0.2419).

The energy relative to the lowest polymorph listed for this composition comes out at 235 meV/atom. For the calculated density, the calculation gives 8.12 g cm⁻³.

***

Compound: CaFeRh2
Source: Alexandria
Functional: SCAN
Structure: single point on PBEsol structure

The structure belongs to space group I-4m2 (No. 119); the cell edges are 3.847, 3.847 and 8.354 Å and the angles 90.00°, 90.00° and 90.00°. Symmetry generates all atoms from Ca at (0.000, 0.000, 0.000), Fe at (0.000, 0.500, 0.250), Rh at (0.000, 0.000, 0.500) and Rh at (0.000, 0.500, 0.750).

The energy relative to the lowest polymorph listed for this composition comes out at 226 meV/atom. For the calculated density, the calculation gives 8.10 g cm⁻³.

***

Compound: CaFeRh
Source: Alexandria
Functional: SCAN
Structure: single point on PBEsol structure

The structure belongs to space group F-43m (No. 216); the cell edges are 6.162, 6.162 and 6.162 Å and the angles 90.00°, 90.00° and 90.00°. Symmetry generates all atoms from Ca at (0.000, 0.000, 0.000), Fe at (0.250, 0.250, 0.750) and Rh at (0.250, 0.250, 0.250).

For the calculated density, the calculation gives 5.64 g cm⁻³.

***

Compound: CaFeRh2
Source: Alexandria
Functional: SCAN
Structure: single point on PBEsol structure

The structure belongs to space group Fm-3m (No. 225); the cell edges are 6.248, 6.248 and 6.248 Å and the angles 90.00°, 90.00° and 90.00°. Symmetry generates all atoms from Ca at (0.000, 0.000, 0.000), Fe at (0.000, 0.000, 0.500) and Rh at (0.250, 0.250, 0.250).

The energy relative to the lowest polymorph listed for this composition comes out at 0 meV/atom. For the calculated density, the calculation gives 8.22 g cm⁻³.

***

Compound: CaFeRh2
Source: Alexandria
Functional: SCAN
Structure: single point on PBEsol structure

The structure belongs to space group Pmm2 (No. 25); the cell edges are 2.817, 3.687 and 6.273 Å and the angles 90.00°, 90.00° and 90.00°. Symmetry generates all atoms from Ca at (0.000, 0.000, 0.000), Fe at (0.500, 0.500, 0.337), Rh at (0.000, 0.000, 0.487) and Rh at (0.500, 0.500, 0.720).

The energy relative to the lowest polymorph listed for this composition comes out at 169 meV/atom. For the calculated density, the calculation gives 7.69 g cm⁻³.

***

no.,DFT formation energy (eV per atom)
1,0.614
2,0.691
3,2.157
4,0.112
5,0.103
6,0.973
7,-0.123
8,0.046